(1)
Here is a relaxed LaSn3Hg3 crystal from Alexandria via LeMat-Bulk. Energies are from PBE.

Cell: 7.8322 7.8322 7.8322 Å, 90.00 90.00 90.00°
Fractional coordinates of all 14 atoms:
La  0.0000  0.0000  0.0000
La  0.5000  0.5000  0.5000
Sn  0.0000  0.2500  0.5000
Sn  0.0000  0.7500  0.5000
Sn  0.2500  0.5000  0.0000
Sn  0.5000  0.0000  0.2500
Sn  0.5000  0.0000  0.7500
Sn  0.7500  0.5000  0.0000
Hg  0.0000  0.5000  0.2500
Hg  0.0000  0.5000  0.7500
Hg  0.2500  0.0000  0.5000
Hg  0.5000  0.2500  0.0000
Hg  0.5000  0.7500  0.0000
Hg  0.7500  0.0000  0.5000

## Properties
Crystal system: cubic
Calculated total energy in eV per cell: -32.7
M_tot in μB per cell: 0.4
DFT formation energy in eV per atom: 0.2102

=====

(2)
Here is a relaxed Na5Tl2In crystal from Alexandria via LeMat-Bulk. Energies are from PBE.

Cell: 6.6931 13.3006 5.1973 Å, 90.00 90.00 90.00°
Fractional coordinates of all 16 atoms:
Na  0.0000  0.0000  0.0000
Na  0.0324  0.2561  0.0000
Na  0.2317  0.8751  0.5000
Na  0.2683  0.3751  0.5000
Na  0.4676  0.7561  0.0000
Na  0.5000  0.5000  0.0000
Na  0.5324  0.2439  0.0000
Na  0.7317  0.6249  0.5000
Na  0.7683  0.1249  0.5000
Na  0.9676  0.7439  0.0000
Tl  0.2202  0.6167  0.5000
Tl  0.2798  0.1167  0.5000
Tl  0.7202  0.8833  0.5000
Tl  0.7798  0.3833  0.5000
In  0.0000  0.5000  0.0000
In  0.5000  0.0000  0.0000

## Properties
Crystal system: orthorhombic
Calculated total energy in eV per cell: -29.4
M_tot in μB per cell: 0.0
DFT formation energy in eV per atom: -0.0804

=====

(3)
Here is a relaxed LaCd2Se crystal from Alexandria via LeMat-Bulk. Energies are from PBE.

Cell: 4.2400 4.2400 12.0111 Å, 90.00 90.00 90.00°
Fractional coordinates of all 8 atoms:
La  0.0000  0.0000  0.0000
La  0.5000  0.5000  0.5000
Cd  0.0000  0.5000  0.2500
Cd  0.0000  0.5000  0.7500
Cd  0.5000  0.0000  0.2500
Cd  0.5000  0.0000  0.7500
Se  0.0000  0.0000  0.5000
Se  0.5000  0.5000  0.0000

## Properties
Crystal system: tetragonal
E_form (uncorrected) in eV per atom: -0.816
Calculated total energy in eV per cell: -27.0
M_tot in μB per cell: 0.0

=====

(4)
Here is a relaxed GdHf2Ga crystal from Alexandria via LeMat-Bulk. Energies are from PBE.

Cell: 3.1326 3.1326 32.6398 Å, 90.00 90.00 120.00°
Fractional coordinates of all 12 atoms:
Gd  0.0000  0.0000  0.0000
Gd  0.3333  0.6667  0.6667
Gd  0.6667  0.3333  0.3333
Hf  0.0000  0.0000  0.0960
Hf  0.0000  0.0000  0.9040
Hf  0.3333  0.6667  0.5707
Hf  0.3333  0.6667  0.7627
Hf  0.6667  0.3333  0.2373
Hf  0.6667  0.3333  0.4293
Ga  0.0000  0.0000  0.5000
Ga  0.3333  0.6667  0.1667
Ga  0.6667  0.3333  0.8333

## Properties
Crystal system: trigonal
Energy relative to the lowest polymorph listed for this composition in meV per atom: 327
Calculated total energy in eV per cell: -108.7
M_tot in μB per cell: 23.2
DFT formation energy in eV per atom: 0.1929

=====

(5)
Here is a relaxed ScMn2Ni crystal from Alexandria via LeMat-Bulk. Energies are from PBE.

Cell: 6.1110 6.1110 6.1110 Å, 90.00 90.00 90.00°
Fractional coordinates of all 16 atoms:
Sc  0.0000  0.0000  0.0000
Sc  0.0000  0.5000  0.5000
Sc  0.5000  0.0000  0.5000
Sc  0.5000  0.5000  0.0000
Mn  0.0000  0.0000  0.5000
Mn  0.0000  0.5000  0.0000
Mn  0.2500  0.2500  0.2500
Mn  0.2500  0.7500  0.7500
Mn  0.5000  0.0000  0.0000
Mn  0.5000  0.5000  0.5000
Mn  0.7500  0.2500  0.7500
Mn  0.7500  0.7500  0.2500
Ni  0.2500  0.2500  0.7500
Ni  0.2500  0.7500  0.2500
Ni  0.7500  0.2500  0.2500
Ni  0.7500  0.7500  0.7500

## Properties
Crystal system: cubic
Calculated total energy in eV per cell: -122.8
M_tot in μB per cell: 3.7
DFT formation energy in eV per atom: -0.0627

=====

(6)
Here is a relaxed PrGa12Au6 crystal from Alexandria via LeMat-Bulk. Energies are from PBE.

Cell: 7.5288 7.5288 7.5288 Å, 104.92 104.92 104.92°
Fractional coordinates of all 19 atoms:
Pr  0.0000  0.0000  0.0000
Ga  0.1082  0.5000  0.8918
Ga  0.1082  0.8918  0.5000
Ga  0.1461  0.3902  0.3902
Ga  0.3902  0.1461  0.3902
Ga  0.3902  0.3902  0.1461
Ga  0.5000  0.1082  0.8918
Ga  0.5000  0.8918  0.1082
Ga  0.6098  0.6098  0.8539
Ga  0.6098  0.8539  0.6098
Ga  0.8539  0.6098  0.6098
Ga  0.8918  0.1082  0.5000
Ga  0.8918  0.5000  0.1082
Au  0.2739  0.7146  0.7146
Au  0.2854  0.2854  0.7261
Au  0.2854  0.7261  0.2854
Au  0.7146  0.2739  0.7146
Au  0.7146  0.7146  0.2739
Au  0.7261  0.2854  0.2854

## Properties
Crystal system: trigonal
Calculated total energy in eV per cell: -64.4
M_tot in μB per cell: 0.0
DFT formation energy in eV per atom: -0.1905